[1]
Entry from Alexandria via LeMat-Bulk: MgTl2Mo after structural relaxation (PBE).

ΔE_f in meV per atom: 487
V in Å³ per cell: 86
Polymorph energy (0 for the lowest one) in meV per atom: 26
DFT total energy in eV/atom: -3.803
DOS(E_F) in states/eV per cell: 2.09

Lattice parameters (Å, degrees): 5.8024 5.8024 5.1250 99.86 99.86 30.32
Fractional positions:
Mg  0.0000  0.0000  0.0000
Tl  0.5448  0.5448  0.5355
Tl  0.7702  0.7702  0.2166
Mo  0.2892  0.2892  0.7248

=====

[2]
Entry from Alexandria via LeMat-Bulk: MgTlMo2 after structural relaxation (PBE).

ΔE_f in meV per atom: 685
V in Å³ per cell: 73
Polymorph energy (0 for the lowest one) in meV per atom: 401
DFT total energy in eV/atom: -5.721
DOS(E_F) in states/eV per cell: 3.35

Lattice parameters (Å, degrees): 2.8235 2.8235 9.2170 90.00 90.00 90.00
Fractional positions:
Mg  0.0000  0.0000  0.0000
Tl  0.0000  0.0000  0.5000
Mo  0.5000  0.5000  0.2431
Mo  0.5000  0.5000  0.7569

=====

[3]
Entry from Alexandria via LeMat-Bulk: MgTl2Mo after structural relaxation (PBE).

ΔE_f in meV per atom: 776
V in Å³ per cell: 96
Polymorph energy (0 for the lowest one) in meV per atom: 315
DFT total energy in eV/atom: -3.514
DOS(E_F) in states/eV per cell: 2.59

Lattice parameters (Å, degrees): 5.1335 5.1335 5.1335 60.00 60.00 60.00
Fractional positions:
Mg  0.0000  0.0000  0.0000
Tl  0.2500  0.2500  0.2500
Tl  0.5000  0.5000  0.5000
Mo  0.7500  0.7500  0.7500

=====

[4]
Entry from Alexandria via LeMat-Bulk: MgTl2Mo after structural relaxation (PBE).

ΔE_f in meV per atom: 544
V in Å³ per cell: 86
Polymorph energy (0 for the lowest one) in meV per atom: 83
DFT total energy in eV/atom: -3.746
DOS(E_F) in states/eV per cell: 3.08

Lattice parameters (Å, degrees): 5.8295 5.8295 3.1067 104.24 104.24 113.86
Fractional positions:
Mg  0.0000  0.0000  0.0000
Tl  0.0000  0.5000  0.5000
Tl  0.5000  0.0000  0.5000
Mo  0.5000  0.5000  0.0000

=====

[5]
Entry from Alexandria via LeMat-Bulk: MgTlMo after structural relaxation (PBE).

ΔE_f in meV per atom: 516
V in Å³ per cell: 60
Polymorph energy (0 for the lowest one) in meV per atom: 27
DFT total energy in eV/atom: -4.415
DOS(E_F) in states/eV per cell: 2.16

Lattice parameters (Å, degrees): 3.0764 3.0764 7.3706 90.00 90.00 120.00
Fractional positions:
Mg  0.0000  0.0000  0.0000
Tl  0.3333  0.6667  0.6378
Mo  0.6667  0.3333  0.3073

=====

[6]
Entry from Alexandria via LeMat-Bulk: MgTlMo2 after structural relaxation (PBE).

ΔE_f in meV per atom: 1091
V in Å³ per cell: 156
Polymorph energy (0 for the lowest one) in meV per atom: 807
DFT total energy in eV/atom: -5.315
DOS(E_F) in states/eV per cell: 9.24

Lattice parameters (Å, degrees): 6.0027 6.0027 6.0027 101.95 101.95 125.87
Fractional positions:
Mg  0.0000  0.0000  0.0000
Mg  0.7500  0.2500  0.5000
Tl  0.2500  0.7500  0.5000
Tl  0.5000  0.5000  0.0000
Mo  0.1233  0.6250  0.9983
Mo  0.3750  0.3733  0.4983
Mo  0.6267  0.1250  0.0017
Mo  0.8750  0.8767  0.5017

=====

[7]
Entry from Alexandria via LeMat-Bulk: MgTl2Mo after structural relaxation (PBE).

ΔE_f in meV per atom: 571
V in Å³ per cell: 86
Polymorph energy (0 for the lowest one) in meV per atom: 111
DFT total energy in eV/atom: -3.718
DOS(E_F) in states/eV per cell: 3.07

Lattice parameters (Å, degrees): 3.0437 4.9689 5.7025 90.00 91.87 90.00
Fractional positions:
Mg  0.0000  0.0000  0.0000
Tl  0.2329  0.5000  0.7426
Tl  0.7671  0.5000  0.2574
Mo  0.5000  0.0000  0.5000

=====

[8]
Entry from Alexandria via LeMat-Bulk: MgTlMo2 after structural relaxation (PBE).

ΔE_f in meV per atom: 640
V in Å³ per cell: 73
Polymorph energy (0 for the lowest one) in meV per atom: 356
DFT total energy in eV/atom: -5.766
DOS(E_F) in states/eV per cell: 2.93

Lattice parameters (Å, degrees): 2.8431 2.8431 9.4017 90.00 90.00 105.65
Fractional positions:
Mg  0.0000  0.0000  0.0000
Tl  0.0000  0.0000  0.5000
Mo  0.5000  0.5000  0.2465
Mo  0.5000  0.5000  0.7535

=====

[9]
Entry from Alexandria via LeMat-Bulk: MgTlMo2 after structural relaxation (PBE).

ΔE_f in meV per atom: 284
V in Å³ per cell: 75
Polymorph energy (0 for the lowest one) in meV per atom: 0
DFT total energy in eV/atom: -6.122
DOS(E_F) in states/eV per cell: 2.91

Lattice parameters (Å, degrees): 3.3156 3.3156 6.8062 90.00 90.00 90.00
Fractional positions:
Mg  0.0000  0.0000  0.0000
Tl  0.5000  0.5000  0.7195
Mo  0.0000  0.0000  0.4339
Mo  0.5000  0.5000  0.2527

=====

[10]
Entry from Alexandria via LeMat-Bulk: MgTl2Mo after structural relaxation (PBE).

ΔE_f in meV per atom: 466
V in Å³ per cell: 83
Polymorph energy (0 for the lowest one) in meV per atom: 5
DFT total energy in eV/atom: -3.824
DOS(E_F) in states/eV per cell: 0.77

Lattice parameters (Å, degrees): 5.6720 5.6720 5.6720 137.43 137.43 61.77
Fractional positions:
Mg  0.0000  0.0000  0.0000
Tl  0.2500  0.7500  0.5000
Tl  0.5000  0.5000  0.0000
Mo  0.7500  0.2500  0.5000

=====

[11]
Entry from Alexandria via LeMat-Bulk: MgTl2Mo after structural relaxation (PBE).

ΔE_f in meV per atom: 493
V in Å³ per cell: 86
Polymorph energy (0 for the lowest one) in meV per atom: 32
DFT total energy in eV/atom: -3.797
DOS(E_F) in states/eV per cell: 2.76

Lattice parameters (Å, degrees): 9.6987 9.6987 9.6987 19.19 19.19 19.19
Fractional positions:
Mg  0.0000  0.0000  0.0000
Tl  0.2472  0.2472  0.2472
Tl  0.7528  0.7528  0.7528
Mo  0.5000  0.5000  0.5000

=====

[12]
Entry from Alexandria via LeMat-Bulk: MgTl3Mo after structural relaxation (PBE).

ΔE_f in meV per atom: 1123
V in Å³ per cell: 159
Polymorph energy (0 for the lowest one) in meV per atom: 435
DFT total energy in eV/atom: -2.782
DOS(E_F) in states/eV per cell: 2.49

Lattice parameters (Å, degrees): 5.4139 5.4139 5.4139 90.00 90.00 90.00
Fractional positions:
Mg  0.0000  0.0000  0.0000
Tl  0.0000  0.0000  0.5000
Tl  0.0000  0.5000  0.0000
Tl  0.5000  0.0000  0.0000
Mo  0.5000  0.5000  0.5000

=====

[13]
Entry from Alexandria via LeMat-Bulk: MgTlMo3 after structural relaxation (PBE).

ΔE_f in meV per atom: 2003
V in Å³ per cell: 100
Polymorph energy (0 for the lowest one) in meV per atom: 0
DFT total energy in eV/atom: -5.288
DOS(E_F) in states/eV per cell: 3.66

Lattice parameters (Å, degrees): 4.6491 4.6491 4.6491 90.00 90.00 90.00
Fractional positions:
Mg  0.0000  0.0000  0.0000
Tl  0.5000  0.5000  0.5000
Mo  0.0000  0.0000  0.5000
Mo  0.0000  0.5000  0.0000
Mo  0.5000  0.0000  0.0000

=====

[14]
Entry from Alexandria via LeMat-Bulk: MgTlMo2 after structural relaxation (PBE).

ΔE_f in meV per atom: 857
V in Å³ per cell: 72
Polymorph energy (0 for the lowest one) in meV per atom: 573
DFT total energy in eV/atom: -5.549
DOS(E_F) in states/eV per cell: 2.57

Lattice parameters (Å, degrees): 4.6627 4.6627 4.6627 60.00 60.00 60.00
Fractional positions:
Mg  0.0000  0.0000  0.0000
Tl  0.5000  0.5000  0.5000
Mo  0.2500  0.2500  0.2500
Mo  0.7500  0.7500  0.7500

=====

[15]
Entry from Alexandria via LeMat-Bulk: MgTlMo2 after structural relaxation (PBE).

ΔE_f in meV per atom: 530
V in Å³ per cell: 72
Polymorph energy (0 for the lowest one) in meV per atom: 247
DFT total energy in eV/atom: -5.875
DOS(E_F) in states/eV per cell: 3.38

Lattice parameters (Å, degrees): 3.9356 3.9356 4.6189 90.00 90.00 90.00
Fractional positions:
Mg  0.0000  0.0000  0.0000
Tl  0.5000  0.5000  0.0000
Mo  0.0000  0.5000  0.5000
Mo  0.5000  0.0000  0.5000

=====

[16]
Entry from Alexandria via LeMat-Bulk: MgTlMo after structural relaxation (PBE).

ΔE_f in meV per atom: 490
V in Å³ per cell: 61
Polymorph energy (0 for the lowest one) in meV per atom: 2
DFT total energy in eV/atom: -4.440
DOS(E_F) in states/eV per cell: 1.82

Lattice parameters (Å, degrees): 7.3760 7.3760 7.3760 157.12 157.12 32.58
Fractional positions:
Mg  0.0000  0.0000  0.0000
Tl  0.6881  0.6881  0.0000
Mo  0.3538  0.3538  0.0000

=====

[17]
Entry from Alexandria via LeMat-Bulk: MgTl3Mo after structural relaxation (PBE).

ΔE_f in meV per atom: 688
V in Å³ per cell: 160
Polymorph energy (0 for the lowest one) in meV per atom: 0
DFT total energy in eV/atom: -3.217
DOS(E_F) in states/eV per cell: 2.94

Lattice parameters (Å, degrees): 5.4278 5.4278 5.4278 90.00 90.00 90.00
Fractional positions:
Mg  0.0000  0.0000  0.0000
Tl  0.0000  0.5000  0.5000
Tl  0.5000  0.0000  0.5000
Tl  0.5000  0.5000  0.0000
Mo  0.5000  0.5000  0.5000

=====

[18]
Entry from Alexandria via LeMat-Bulk: MgTl2Mo after structural relaxation (PBE).

ΔE_f in meV per atom: 821
V in Å³ per cell: 190
Polymorph energy (0 for the lowest one) in meV per atom: 360
DFT total energy in eV/atom: -3.469
DOS(E_F) in states/eV per cell: 0.07

Lattice parameters (Å, degrees): 10.5084 10.5084 10.5084 156.15 156.15 33.98
Fractional positions:
Mg  0.0000  0.0000  0.0000
Mg  0.7500  0.2500  0.5000
Tl  0.1447  0.6250  0.0197
Tl  0.3750  0.3947  0.5197
Tl  0.6053  0.1250  0.9803
Tl  0.8750  0.8553  0.4803
Mo  0.2500  0.7500  0.5000
Mo  0.5000  0.5000  0.0000

=====

[19]
Entry from Alexandria via LeMat-Bulk: MgTl2Mo after structural relaxation (PBE).

ΔE_f in meV per atom: 527
V in Å³ per cell: 82
Polymorph energy (0 for the lowest one) in meV per atom: 66
DFT total energy in eV/atom: -3.763
DOS(E_F) in states/eV per cell: 1.27

Lattice parameters (Å, degrees): 5.4286 5.4286 5.4286 133.80 133.80 67.41
Fractional positions:
Mg  0.0000  0.0000  0.0000
Tl  0.2500  0.7500  0.5000
Tl  0.7500  0.2500  0.5000
Mo  0.5000  0.5000  0.0000

=====

[20]
Entry from Alexandria via LeMat-Bulk: MgTlMo2 after structural relaxation (PBE).

ΔE_f in meV per atom: 351
V in Å³ per cell: 78
Polymorph energy (0 for the lowest one) in meV per atom: 67
DFT total energy in eV/atom: -6.055
DOS(E_F) in states/eV per cell: 2.36

Lattice parameters (Å, degrees): 2.9678 2.9678 9.5567 90.00 90.00 112.78
Fractional positions:
Mg  0.0000  0.0000  0.0000
Tl  0.5000  0.5000  0.2846
Mo  0.0000  0.0000  0.5535
Mo  0.5000  0.5000  0.7563